YTcBr3, optimized geometry, DFT PBE-GGA; uncorrected energy = -21.46 eV for the cell shown; formation energy (no corrections) = 0.4 eV/f.u.; space group = Pm-3m; Fermi-level density of states = 4.8 states/eV/f.u.; crystal system = cubic; ρ = 5.5 g/cm³
1.0
5.0397 0.0000 0.0000
0.0000 5.0397 0.0000
0.0000 0.0000 5.0397
Y Tc Br
1 1 3
Cartesian
0.0000 0.0000 0.0000 Y
2.5199 2.5199 2.5199 Tc
0.0000 2.5199 2.5199 Br
2.5199 0.0000 2.5199 Br
2.5199 2.5199 0.0000 Br

=====

Ac2EuAg, optimized geometry, DFT PBE-GGA; uncorrected energy = -20.08 eV for the cell shown; space group = R-3m; Fermi-level density of states = 4.2 states/eV/f.u.; ΔE_f = 1.26 eV per formula unit; crystal system = trigonal; ρ = 7.3 g/cm³
1.0
1.9333 1.1162 12.5897
-1.9333 1.1162 12.5897
0.0000 -2.2324 12.5897
Ac Eu Ag
2 1 1
Cartesian
0.0000 0.0000 3.1002 Ac
0.0000 0.0000 34.6688 Ac
0.0000 0.0000 18.8845 Eu
0.0000 0.0000 0.0000 Ag

=====

Q: The highest Fermi-level density of states belongs to which entry?
A: YTcBr3

=====

Q: Look up the ρ of the second one.
A: 7.3 g/cm³